1.
The following is a PBE calculation of a relaxed structure of Sr3Os, from Alexandria via LeMat-Bulk.

Total DFT energy (no corrections) ... -3.34 eV per atom
Calculated formation energy ... 725.9 meV/atom
Space group ... Pm-3m
Calculated density ... 6.1 g/cm³

Cell lengths 4.9914, 4.9914, 4.9876 Å; angles 90.00, 90.00, 89.97 degrees
Atoms (fractional coordinates):
Sr (0.5000, 0.0000, 0.5000)
Os (0.0000, 0.0000, 0.0000)
Sr (0.5000, 0.5000, 0.0000)
Sr (0.0000, 0.5000, 0.5000)

2.
The following is a PBE calculation of a relaxed structure of Sr3Os, from Alexandria via LeMat-Bulk.

Total DFT energy (no corrections) ... -3.09 eV per atom
Calculated formation energy ... 975.1 meV/atom
Space group ... R-3m
Calculated density ... 5.9 g/cm³

Cell lengths 6.4518, 6.4518, 6.4518 Å; angles 116.47, 116.47, 116.47 degrees
Each line ends with the local moment (μB).
Atoms (fractional coordinates):
Sr (0.5000, 0.0000, 0.5000)  -0.01
Sr (0.0000, 0.5000, 0.5000)  -0.01
Os (0.0000, 0.0000, 0.0000)  0.56
Sr (0.5000, 0.5000, 0.0000)  -0.01

3.
The following is a PBE calculation of a relaxed structure of Sr3Os2, from Alexandria via LeMat-Bulk.

Total DFT energy (no corrections) ... -4.61 eV per atom
Calculated formation energy ... 891.9 meV/atom
Space group ... P-3m1
Calculated density ... 7.4 g/cm³

Cell lengths 5.0349, 5.0349, 6.5483 Å; angles 90.00, 90.00, 120.00 degrees
Atoms (fractional coordinates):
Sr (0.0000, 0.0000, 0.0000)
Os (0.3333, 0.6667, 0.9248)
Os (0.6667, 0.3333, 0.0752)
Sr (0.3333, 0.6667, 0.3578)
Sr (0.6667, 0.3333, 0.6422)

Question: Which value of total DFT energy (no corrections) does entry 3 give?
Answer: -4.61 eV per atom

Question: What is the formula in the second record?
Answer: Sr3Os